A relaxed SrSiAg2Pd crystal. Source: Alexandria via LeMat-Bulk, functional PBE.

Computed properties:
The total energy comes out at -3.29 eV per atom. The value obtained for the distance to the lowest polymorph of the same formula is 586 meV per atom. Its raw formation energy is 1.528 eV per formula unit. The total magnetization comes out at 0.000 μB per formula unit. The density of states at the Fermi level is 4.00 states/eV/f.u.

Cell: 4.7513 5.8651 4.7513 Å, 90.00 90.00 90.00°
Sites, in units of the cell vectors:
Sr1 0.0000 0.5000 0.0000
Si1 0.0000 0.0000 0.0000
Pd1 0.5000 0.5000 0.5000
Ag1 0.0000 0.0000 0.5000
Ag2 0.5000 0.0000 0.0000

***

A relaxed SrSiAg2Pd crystal. Source: Alexandria via LeMat-Bulk, functional PBE.

Computed properties:
The total energy comes out at -3.88 eV per atom. The value obtained for the distance to the lowest polymorph of the same formula is 0 meV per atom. Its raw formation energy is -1.402 eV per formula unit. The total magnetization comes out at 0.000 μB per formula unit. The density of states at the Fermi level is 0.69 states/eV/f.u.

Cell: 4.8778 4.8778 4.7817 Å, 90.00 90.00 90.00°
Sites, in units of the cell vectors:
Sr1 0.5000 0.5000 0.5000
Si1 0.0000 0.0000 0.0000
Pd1 0.0000 0.0000 0.5000
Ag1 0.0000 0.5000 0.0000
Ag2 0.5000 0.0000 0.0000

***

A relaxed Ta2SiAgPd crystal. Source: Alexandria via LeMat-Bulk, functional PBE.

Computed properties:
The total energy comes out at -6.77 eV per atom. Its raw formation energy is 3.299 eV per formula unit. The total magnetization comes out at 0.000 μB per formula unit. The density of states at the Fermi level is 3.68 states/eV/f.u.

Cell: 4.6939 4.4199 4.6939 Å, 90.00 90.00 90.00°
Sites, in units of the cell vectors:
Si1 0.0000 0.0000 0.0000
Pd1 0.0000 0.5000 0.0000
Ag1 0.5000 0.5000 0.5000
Ta1 0.0000 0.0000 0.5000
Ta2 0.5000 0.0000 0.0000

***

A relaxed Si2TcAgPd crystal. Source: Alexandria via LeMat-Bulk, functional PBE.

Computed properties:
The total energy comes out at -5.13 eV per atom. Its raw formation energy is 3.628 eV per formula unit. The total magnetization comes out at 0.000 μB per formula unit. The density of states at the Fermi level is 3.80 states/eV/f.u.

Cell: 4.4978 5.1873 4.4978 Å, 90.00 90.00 90.00°
Sites, in units of the cell vectors:
Si1 0.0000 0.0000 0.5000
Si2 0.5000 0.0000 0.0000
Pd1 0.5000 0.5000 0.5000
Ag1 0.0000 0.5000 0.0000
Tc1 0.0000 0.0000 0.0000

***

A relaxed SiAg2TePd crystal. Source: Alexandria via LeMat-Bulk, functional PBE.

Computed properties:
The total energy comes out at -3.07 eV per atom. Its raw formation energy is 4.129 eV per formula unit. The total magnetization comes out at 0.000 μB per formula unit. The density of states at the Fermi level is 3.30 states/eV/f.u.

Cell: 5.2197 5.0132 5.2197 Å, 90.00 90.00 90.00°
Sites, in units of the cell vectors:
Si1 0.5000 0.5000 0.5000
Te1 0.0000 0.0000 0.0000
Pd1 0.0000 0.5000 0.0000
Ag1 0.0000 0.0000 0.5000
Ag2 0.5000 0.0000 0.0000

***

A relaxed Th3Si6AgPd2 crystal. Source: Alexandria via LeMat-Bulk, functional PBE.

Computed properties:
The total energy comes out at -6.05 eV per atom. Its raw formation energy is -4.569 eV per formula unit. The total magnetization comes out at 0.000 μB per formula unit. The density of states at the Fermi level is 6.61 states/eV/f.u.

Cell: 5.9331 5.9331 8.0618 Å, 90.00 90.00 120.00°
Sites, in units of the cell vectors:
Th1 0.3333 0.6667 0.6325
Th2 0.6667 0.3333 0.3675
Th3 0.0000 0.0000 0.0000
Si1 0.6077 0.8039 0.2820
Si2 0.1961 0.3923 0.2820
Si3 0.1961 0.8039 0.2820
Si4 0.8039 0.6077 0.7180
Si5 0.3923 0.1961 0.7180
Si6 0.8039 0.1961 0.7180
Ag1 0.0000 0.0000 0.5000
Pd1 0.6667 0.3333 0.9774
Pd2 0.3333 0.6667 0.0226

***

A relaxed Si2AgPdW crystal. Source: Alexandria via LeMat-Bulk, functional PBE.

Computed properties:
The total energy comes out at -4.53 eV per atom. Its raw formation energy is 9.170 eV per formula unit. The total magnetization comes out at 2.682 μB per formula unit. The density of states at the Fermi level is 5.94 states/eV/f.u.

Cell: 4.5677 5.1391 4.5677 Å, 90.00 90.00 90.00°
Site moments in Bohr magnetons follow the coordinates.
Sites, in units of the cell vectors:
Si1 0.0000 0.0000 0.5000  -0.01
Si2 0.5000 0.0000 0.0000  -0.01
Pd1 0.5000 0.5000 0.5000  0.09
Ag1 0.0000 0.0000 0.0000  0.05
W1 0.0000 0.5000 0.0000  2.05

***

A relaxed Sm5AgPd2 crystal. Source: Alexandria via LeMat-Bulk, functional PBE.

Computed properties:
The total energy comes out at -5.07 eV per atom. The formation energy is -0.470 eV/atom. The total magnetization comes out at 0.000 μB per formula unit. The density of states at the Fermi level is 8.06 states/eV/f.u.

Cell: 8.0497 8.0497 8.7440 Å, 117.41 117.41 90.00°
Sites, in units of the cell vectors:
Sm1 0.5203 0.6973 0.7176
Sm2 0.8027 0.9797 0.2824
Sm3 0.0000 0.0000 0.0000
Sm4 0.5000 0.5000 0.0000
Sm5 0.1973 0.0203 0.7176
Sm6 0.6973 0.1973 0.7176
Sm7 0.0203 0.5203 0.7176
Sm8 0.3027 0.8027 0.2824
Sm9 0.9797 0.4797 0.2824
Sm10 0.4797 0.3027 0.2824
Ag1 0.7500 0.7500 0.5000
Ag2 0.2500 0.2500 0.5000
Pd1 0.1299 0.3701 0.0000
Pd2 0.6299 0.1299 0.0000
Pd3 0.3701 0.8701 0.0000
Pd4 0.8701 0.6299 0.0000

***

total magnetization of number 7 (Si2AgPdW)?
2.682 μB per formula unit